No. 1
Compound: SrCrSN2
Source: Alexandria
Functional: PBE-GGA
Structure: relaxed

Size of the total moment, μB per formula unit: 0.41
E, eV per atom: -6.747
E_form (uncorrected), eV per atom: -0.3303

Cell lengths 3.873, 3.873, 4.898 Å; angles 90.00, 90.00, 90.00 degrees
Space group P4/mmm (No. 123)
One atom of each set of equivalent atoms:
Sr 0.000 0.000 0.000 x1
Cr 0.500 0.500 0.500 x1
S 0.500 0.500 0.000 x1
N 0.000 0.500 0.500 x2

No. 2
Compound: YAg2
Source: Alexandria
Functional: PBE-GGA
Structure: relaxed

Size of the total moment, μB per formula unit: 0.00
E_form, meV/atom: -177
E, eV per atom: -4.232

Cell lengths 3.922, 3.922, 18.511 Å; angles 90.00, 90.00, 90.00 degrees
Space group I4_1/amd (No. 141, origin choice 2)
One atom of each set of equivalent atoms:
Y 0.000 0.250 0.375 x4
Ag 0.000 0.250 0.800 x8

No. 3
Compound: Sr2NbAg
Source: Alexandria
Functional: PBE-GGA
Structure: relaxed

Size of the total moment, μB per formula unit: 3.93
E_form, meV/atom: 808
E, eV per atom: -3.263

Cell lengths 8.804, 8.804, 6.711 Å; angles 90.00, 90.00, 90.00 degrees
Space group I-42d (No. 122)
One atom of each set of equivalent atoms:
Sr 0.221 0.250 0.125 x8
Nb 0.000 0.000 0.500 x4
Ag 0.000 0.000 0.000 x4

No. 4
Compound: YTaSeBr2
Source: Alexandria
Functional: PBE-GGA
Structure: relaxed

Size of the total moment, μB per formula unit: 3.98
E, eV per atom: -4.901
E_form (uncorrected), eV per atom: 0.1288

Cell lengths 5.439, 5.439, 5.615 Å; angles 90.00, 90.00, 90.00 degrees
Space group P4/mmm (No. 123)
One atom of each set of equivalent atoms:
Y 0.000 0.000 0.000 x1
Ta 0.500 0.500 0.500 x1
Se 0.000 0.000 0.500 x1
Br 0.000 0.500 0.000 x2

No. 5
Compound: Pm4Dy3Tm
Source: Alexandria
Functional: PBE-GGA
Structure: relaxed

Size of the total moment, μB per formula unit: 0.00
E_form, meV/atom: 25
E, eV per atom: -4.635

Cell lengths 11.498, 7.306, 6.302 Å; angles 90.00, 90.00, 90.00 degrees
Space group Pmn2_1 (No. 31)
One atom of each set of equivalent atoms:
Pm 0.000 0.127 0.000 x2
Pm 0.000 0.873 0.496 x2
Pm 0.249 0.872 0.833 x4
Dy 0.000 0.377 0.499 x2
Dy 0.250 0.378 0.831 x4
Tm 0.000 0.621 0.998 x2

No. 6
Compound: AgC3I
Source: Alexandria
Functional: PBE-GGA
Structure: relaxed

Size of the total moment, μB per formula unit: 0.00
E, eV per atom: -2.954
E_form (uncorrected), eV per atom: 3.4604

Cell lengths 4.246, 4.246, 4.246 Å; angles 90.00, 90.00, 90.00 degrees
Space group Pm-3m (No. 221)
One atom of each set of equivalent atoms:
Ag 0.000 0.000 0.000 x1
C 0.000 0.500 0.500 x3
I 0.500 0.500 0.500 x1